Compound: Ba5Mn
Source: Alexandria
Functional: PBE
Structure: optimized geometry

Cell lengths 7.5725, 7.5725, 7.2489 Å; angles 90.00, 90.00, 120.00 degrees
Space group P6/mmm (No. 191)
Inequivalent atoms, fractional coordinates:
1 Ba 0.0000 0.5000 0.0000
2 Ba 0.3333 0.6667 0.5000
3 Mn 0.0000 0.0000 0.5000

Results
Energy of formation from the pure elements in eV/atom: 0.720
Density of states at the Fermi level in states/eV per cell: 10.33
Energy in eV per atom: -2.410
Excess energy over the best structure of this formula in the dataset in meV/atom: 478

***

Compound: Ba2Mn
Source: Alexandria
Functional: PBE
Structure: optimized geometry

Cell lengths 8.2510, 8.2510, 8.2510 Å; angles 90.00, 90.00, 90.00 degrees
Space group Pa-3 (No. 205)
Inequivalent atoms, fractional coordinates:
1 Ba 0.1561 0.1561 0.1561
2 Mn 0.0000 0.0000 0.5000

Results
Energy of formation from the pure elements in eV/atom: 0.547
Density of states at the Fermi level in states/eV per cell: 12.46
Energy in eV per atom: -3.791

***

Compound: Ba3Mn5
Source: Alexandria
Functional: PBE
Structure: optimized geometry

Cell lengths 11.0687, 11.0687, 4.2177 Å; angles 90.00, 90.00, 120.00 degrees
Space group P6_3/mcm (No. 193)
Inequivalent atoms, fractional coordinates:
1 Ba 0.0000 0.3528 0.2500
2 Mn 0.0000 0.1149 0.7500
3 Mn 0.3333 0.6667 0.0000

Results
Energy of formation from the pure elements in eV/atom: 0.742
Density of states at the Fermi level in states/eV per cell: 23.67
Energy in eV per atom: -5.710
Excess energy over the best structure of this formula in the dataset in meV/atom: 0

***

Compound: Ba2Mn
Source: Alexandria
Functional: PBE
Structure: optimized geometry

Cell lengths 4.2091, 19.7462, 6.1431 Å; angles 90.00, 90.00, 90.00 degrees
Space group Cmcm (No. 63)
Inequivalent atoms, fractional coordinates:
1 Ba 0.0000 0.0711 0.2500
2 Ba 0.0000 0.2078 0.7500
3 Mn 0.0000 0.4326 0.2500

Results
Energy of formation from the pure elements in eV/atom: 0.495
Density of states at the Fermi level in states/eV per cell: 15.61
Energy in eV per atom: -3.843

***

Compound: Ba5Mn
Source: Alexandria
Functional: PBE
Structure: optimized geometry

Cell lengths 14.9284, 4.3285, 10.6655 Å; angles 90.00, 112.49, 90.00 degrees
Space group C2/m (No. 12)
Inequivalent atoms, fractional coordinates:
1 Ba 0.0000 0.0000 0.0000
2 Ba 0.1297 0.5000 0.3727
3 Ba 0.1657 0.5000 0.7802
4 Mn 0.0000 0.0000 0.5000

Results
Energy of formation from the pure elements in eV/atom: 0.243
Density of states at the Fermi level in states/eV per cell: 17.53
Energy in eV per atom: -2.888
Excess energy over the best structure of this formula in the dataset in meV/atom: 0

***

Compound: Ba3Mn
Source: Alexandria
Functional: PBE
Structure: optimized geometry

Cell lengths 8.9412, 8.9412, 8.9412 Å; angles 90.00, 90.00, 90.00 degrees
Space group Fm-3m (No. 225)
Inequivalent atoms, fractional coordinates:
1 Ba 0.0000 0.0000 0.0000
2 Ba 0.2500 0.2500 0.2500
3 Mn 0.0000 0.0000 0.5000

Results
Energy of formation from the pure elements in eV/atom: 0.475
Density of states at the Fermi level in states/eV per cell: 20.88
Energy in eV per atom: -3.260

***

Compound: Ba2Mn
Source: Alexandria
Functional: PBE
Structure: optimized geometry

Cell lengths 8.4401, 8.4401, 7.3954 Å; angles 90.00, 90.00, 90.00 degrees
Space group I4/mcm (No. 140)
Inequivalent atoms, fractional coordinates:
1 Ba 0.1789 0.3211 0.0000
2 Mn 0.0000 0.0000 0.2500

Results
Energy of formation from the pure elements in eV/atom: 0.486
Density of states at the Fermi level in states/eV per cell: 19.77
Energy in eV per atom: -3.852

***

Compound: Ba2Mn
Source: Alexandria
Functional: PBE
Structure: optimized geometry

Cell lengths 7.7909, 5.9053, 10.9542 Å; angles 90.00, 90.00, 90.00 degrees
Space group Pnma (No. 62)
Inequivalent atoms, fractional coordinates:
1 Ba 0.0254 0.2500 0.1965
2 Ba 0.1685 0.2500 0.5735
3 Mn 0.2035 0.2500 0.8999

Results
Energy of formation from the pure elements in eV/atom: 0.484
Density of states at the Fermi level in states/eV per cell: 18.86
Energy in eV per atom: -3.854